Ac3Al2InPt9 after structural relaxation, computed with PBE.

abc: 6.888 6.888 8.558
angles: 90.00 90.00 120.00
Fractional positions:
Ac (0.000, 0.000, 0.000)
Ac (0.333, 0.667, 0.714)
Ac (0.667, 0.333, 0.286)
Al (0.333, 0.667, 0.171)
Al (0.667, 0.333, 0.829)
In (0.000, 0.000, 0.500)
Pt (0.000, 0.500, 0.000)
Pt (0.203, 0.406, 0.399)
Pt (0.203, 0.797, 0.399)
Pt (0.406, 0.203, 0.601)
Pt (0.500, 0.000, 0.000)
Pt (0.500, 0.500, 0.000)
Pt (0.594, 0.797, 0.399)
Pt (0.797, 0.203, 0.601)
Pt (0.797, 0.594, 0.601)

Results
As for the calculated density: 12.303 g/cm3. As for the formation enthalpy at 0 K: -16.32 kcal/mol of atoms. The calculation puts the spin magnetization at 0.0 μB/cell. As for the space group: P-3m1 (164). Its raw total energy is -87.5 eV per formula unit.